# 1
Here is a relaxed structure of SrMg6Zr from the Alexandria database. Energies are from GGA-PBE.

Results
- space group = P4/mmm
- energy relative to the elements (meV/atom) = 54
- raw total energy (eV/atom) = -2.4209
- size of the total moment (μB/f.u.) = 0.008
- energy above the lowest structure with this stoichiometry (eV per atom) = 0.000
- N(E_F) (states/eV/f.u.) = 7.23

a = 6.6769 Å, b = 6.6769 Å, c = 4.6190 Å
α = 90.00°, β = 90.00°, γ = 90.00°
Closest atoms and distances in Å follow each position.
Sites, in units of the cell vectors:
Mg: 0.6249 0.8749 0.5000  8 Mg 3.31, 2 Zr 3.34, 2 Sr 3.34
Mg: 0.3539 0.1040 0.0000  6 Mg 3.06-3.31, 2 Zr 3.16
Mg: 0.1251 0.3751 0.5000  8 Mg 3.31, 2 Zr 3.34, 2 Sr 3.34
Mg: 0.8961 0.1039 0.0000  6 Mg 3.06-3.31, 2 Zr 3.16
Sr: 0.6251 0.3749 0.5000  12 Mg 3.34-3.45
Mg: 0.8960 0.6461 0.0000  6 Mg 3.06-3.31, 2 Zr 3.16
Mg: 0.3540 0.6460 0.0000  6 Mg 3.06-3.31, 2 Zr 3.16
Zr: 0.1250 0.8750 0.5000  12 Mg 3.16-3.34


# 2
Here is a relaxed structure of KCr2Fe from the Alexandria database. Energies are from GGA-PBE.

Results
- space group = C2/m
- energy relative to the elements (meV/atom) = 1571
- raw total energy (eV/atom) = -5.6309
- size of the total moment (μB/f.u.) = 4.867
- energy above the lowest structure with this stoichiometry (eV per atom) = 0.797
- N(E_F) (states/eV/f.u.) = 5.57

a = 5.2762 Å, b = 5.5774 Å, c = 2.4863 Å
α = 81.49°, β = 80.90°, γ = 115.96°
Closest atoms and distances in Å follow each position.
Sites, in units of the cell vectors:
Fe: 0.0000 0.5000 0.5000  2 Fe 2.49, 2 K 2.73
K: 0.5000 0.5000 0.0000  2 K 2.49, 2 Fe 2.73
Cr: 0.0000 0.0000 0.0000  4 Cr 2.49-2.73
Cr: 0.5000 0.0000 0.5000  4 Cr 2.49-2.73


# 3
Here is a relaxed structure of Y12Co6Pd from the Alexandria database. Energies are from GGA-PBE.

Results
- space group = Im-3
- energy relative to the elements (meV/atom) = -238
- raw total energy (eV/atom) = -6.8382
- size of the total moment (μB/f.u.) = 0.000
- N(E_F) (states/eV/f.u.) = 9.17

a = 8.3323 Å, b = 8.3323 Å, c = 8.3323 Å
α = 109.47°, β = 109.47°, γ = 109.47°
Closest atoms and distances in Å follow each position.
Sites, in units of the cell vectors:
Y: 0.4943 0.1942 0.3002  3 Co 2.67-2.89
Y: 0.6998 0.5057 0.8058  3 Co 2.67-2.89
Co: 0.8869 0.3869 0.5000  1 Co 2.18
Co: 0.5000 0.1131 0.6131  1 Co 2.18
Y: 0.1060 0.8058 0.3002  3 Co 2.67-2.89
Y: 0.5057 0.8058 0.6998  3 Co 2.67-2.89
Y: 0.3002 0.1060 0.8058  3 Co 2.67-2.89
Co: 0.3869 0.5000 0.8869  1 Co 2.18
Y: 0.3002 0.4943 0.1942  3 Co 2.67-2.89
Y: 0.8940 0.1942 0.6998  3 Co 2.67-2.89
Co: 0.6131 0.5000 0.1131  1 Co 2.18
Co: 0.5000 0.8869 0.3869  1 Co 2.18
Y: 0.8058 0.6998 0.5057  3 Co 2.67-2.89
Y: 0.6998 0.8940 0.1942  3 Co 2.67-2.89
Y: 0.8058 0.3002 0.1060  3 Co 2.67-2.89
Y: 0.1942 0.6998 0.8940  3 Co 2.67-2.89
Co: 0.1131 0.6131 0.5000  1 Co 2.18
Y: 0.1942 0.3002 0.4943  3 Co 2.67-2.89
Pd: 0.0000 0.0000 0.0000  12 Y 3.44